Entry 1:
Compound: CdWCl2
Source: Alexandria via LeMat-Bulk
Functional: PBE-GGA
Structure: relaxed

Calculated values
SG: Cmmm, No. 65
Polymorph energy (0 for the lowest one) in meV per atom: 925.7
E_form (uncorrected) in eV per atom: 0.85

```
data_CdWCl2
_chemical_formula_sum 'Cd1 W1 Cl2'
_symmetry_space_group_name_H-M 'P 1'
_symmetry_Int_Tables_number 1
_symmetry_space_group_name_Hall 'P 1'
_cell_length_a 5.235
_cell_length_b 5.234
_cell_length_c 3.024
_cell_angle_alpha 90.00
_cell_angle_beta 90.00
_cell_angle_gamma 109.56
loop_
_atom_site_label
_atom_site_fract_x
_atom_site_fract_y
_atom_site_fract_z
_atom_site_occupancy
Cl1 0.500 0.500 0.000 1
Cd1 0.000 0.500 0.500 1
Cl2 0.000 0.000 0.000 1
W1 0.500 0.000 0.500 1
```

***

Entry 2:
Compound: Ti2InIr
Source: Alexandria via LeMat-Bulk
Functional: PBE-GGA
Structure: relaxed

Calculated values
SG: P4/mmm, No. 123
Formation energy from the elements in meV/atom: -377

```
data_Ti2InIr
_chemical_formula_sum 'Ti2 In1 Ir1'
_symmetry_space_group_name_H-M 'P 1'
_symmetry_Int_Tables_number 1
_symmetry_space_group_name_Hall 'P 1'
_cell_length_a 3.998
_cell_length_b 4.095
_cell_length_c 4.095
_cell_angle_alpha 90.00
_cell_angle_beta 90.00
_cell_angle_gamma 90.00
loop_
_atom_site_label
_atom_site_fract_x
_atom_site_fract_y
_atom_site_fract_z
_atom_site_occupancy
Ti1 0.000 0.500 0.000 1
Ir1 0.500 0.000 0.000 1
Ti2 0.000 0.000 0.500 1
In1 0.500 0.500 0.500 1
```

***

Entry 3:
Compound: Mg2BeH
Source: Alexandria via LeMat-Bulk
Functional: PBE-GGA
Structure: relaxed

Calculated values
SG: I-42d, No. 122
Polymorph energy (0 for the lowest one) in meV per atom: 0.0

```
data_Mg2BeH
_chemical_formula_sum 'Mg4 Be2 H2'
_symmetry_space_group_name_H-M 'P 1'
_symmetry_Int_Tables_number 1
_symmetry_space_group_name_Hall 'P 1'
_cell_length_a 6.032
_cell_length_b 6.032
_cell_length_c 5.327
_cell_angle_alpha 55.52
_cell_angle_beta 55.52
_cell_angle_gamma 90.00
loop_
_atom_site_label
_atom_site_fract_x
_atom_site_fract_y
_atom_site_fract_z
_atom_site_occupancy
Be1 0.750 0.250 0.500 1
Mg1 0.875 0.798 0.750 1
Mg2 0.375 0.452 0.750 1
H1 0.250 0.750 0.500 1
Mg3 0.202 0.625 0.250 1
Mg4 0.548 0.125 0.250 1
H2 0.500 0.500 0.000 1
Be2 0.000 0.000 0.000 1
```

***

Entry 4:
Compound: Be2TcRh
Source: Alexandria via LeMat-Bulk
Functional: PBE-GGA
Structure: relaxed

Calculated values
SG: Pmmm, No. 47
Polymorph energy (0 for the lowest one) in meV per atom: 291.0
Formation energy from the elements in meV/atom: -34

```
data_Be2TcRh
_chemical_formula_sum 'Be2 Tc1 Rh1'
_symmetry_space_group_name_H-M 'P 1'
_symmetry_Int_Tables_number 1
_symmetry_space_group_name_Hall 'P 1'
_cell_length_a 2.955
_cell_length_b 4.456
_cell_length_c 3.546
_cell_angle_alpha 90.00
_cell_angle_beta 90.00
_cell_angle_gamma 90.00
loop_
_atom_site_label
_atom_site_fract_x
_atom_site_fract_y
_atom_site_fract_z
_atom_site_occupancy
Tc1 0.000 0.500 0.500 1
Be1 0.000 0.000 0.000 1
Rh1 0.500 0.000 0.500 1
Be2 0.500 0.500 0.000 1
```

***

no.,calculated total energy (Ry per atom),density of states at the Fermi level (states/eV/f.u.)
1,-0.2600,2.9
2,-0.5310,4.7
3,-0.1611,1.5
4,-0.4650,3.4